Record 1
# GGA-PBE AsRh, relaxed
# - volume (A^3/atom) = 16.778
# - M_tot (μB/atom) = 0.00
# - ΔE_f (kJ per mole of atoms) = -36.1
data_AsRh
_chemical_formula_sum 'As4 Rh4'
_cell_length_a 3.011
_cell_length_b 8.371
_cell_length_c 5.325
_cell_angle_alpha 90.00
_cell_angle_beta 90.00
_cell_angle_gamma 90.00
_symmetry_space_group_name_H-M 'C m c 21'
_symmetry_Int_Tables_number 36
_symmetry_space_group_name_Hall 'C 2c -2'
loop_
_atom_site_label
_atom_site_type_symbol
_atom_site_fract_x
_atom_site_fract_y
_atom_site_fract_z
_atom_site_occupancy
As1 As 0.000 0.159 0.000 1
Rh1 Rh 0.000 0.437 0.842 1

---

Record 2
# GGA-PBE La2Si2Tc2N, relaxed
# - volume (A^3/atom) = 19.147
# - energy relative to the elements, uncorrected (meV/atom) = -805
# - M_tot (μB/atom) = 0.00
data_La2Si2Tc2N
_chemical_formula_sum 'La4 Si4 Tc4 N2'
_cell_length_a 11.464
_cell_length_b 4.135
_cell_length_c 7.225
_cell_angle_alpha 90.00
_cell_angle_beta 128.50
_cell_angle_gamma 90.00
_symmetry_space_group_name_H-M 'C 1 2/m 1'
_symmetry_Int_Tables_number 12
_symmetry_space_group_name_Hall '-C 2y'
loop_
_atom_site_label
_atom_site_type_symbol
_atom_site_fract_x
_atom_site_fract_y
_atom_site_fract_z
_atom_site_occupancy
La1 La 0.062 0.000 0.299 1
Si1 Si 0.168 0.500 0.725 1
Tc1 Tc 0.198 0.500 0.091 1
N1 N 0.000 0.500 0.000 1

---

Record 3
# GGA-PBE AgBrF2, relaxed
# - volume (A^3/atom) = 20.845
# - energy relative to the elements, uncorrected (meV/atom) = -527
# - ΔE to the lowest computed polymorph (eV per atom) = 0.275
# - M_tot (μB/atom) = 0.00
data_AgBrF2
_chemical_formula_sum 'Ag4 Br4 F8'
_cell_length_a 7.945
_cell_length_b 7.945
_cell_length_c 5.283
_cell_angle_alpha 90.00
_cell_angle_beta 90.00
_cell_angle_gamma 90.00
_symmetry_space_group_name_H-M 'I -4 2 d'
_symmetry_Int_Tables_number 122
_symmetry_space_group_name_Hall 'I -4 2bw'
loop_
_atom_site_label
_atom_site_type_symbol
_atom_site_fract_x
_atom_site_fract_y
_atom_site_fract_z
_atom_site_occupancy
Ag1 Ag 0.000 0.000 0.000 1
Br1 Br 0.000 0.000 0.500 1
F1 F 0.070 0.250 0.125 1

---

Record 4
# GGA-PBE Zr4Al16Fe3, relaxed
# - volume (A^3/atom) = 16.453
# - M_tot (μB/atom) = 0.00
# - ΔE_f (kJ per mole of atoms) = -40.0
data_Zr4Al16Fe3
_chemical_formula_sum 'Zr4 Al16 Fe3'
_cell_length_a 5.885
_cell_length_b 5.885
_cell_length_c 10.926
_cell_angle_alpha 90.00
_cell_angle_beta 90.00
_cell_angle_gamma 90.00
_symmetry_space_group_name_H-M 'P 4/m m m'
_symmetry_Int_Tables_number 123
_symmetry_space_group_name_Hall '-P 4 2'
loop_
_atom_site_label
_atom_site_type_symbol
_atom_site_fract_x
_atom_site_fract_y
_atom_site_fract_z
_atom_site_occupancy
Zr1 Zr 0.000 0.500 0.194 1
Al1 Al 0.000 0.000 0.193 1
Al2 Al 0.224 0.224 0.000 1
Al3 Al 0.248 0.248 0.383 1
Al4 Al 0.500 0.500 0.212 1
Fe1 Fe 0.000 0.500 0.500 1
Fe2 Fe 0.500 0.500 0.000 1